# K2YAu2

Crystalline K2YAu2 at its relaxed geometry (GGA-PBE, Alexandria via LeMat-Bulk).

Calculated values
V in Å³/cell: 318.6
ΔH_f (0 K) in eV per atom: -0.21
DOS at the Fermi energy in states/eV per atom: 0.838
Magnetic moment in μB per formula unit: 0.00

Cell: 7.6199 7.6199 5.4869 Å, 90.00 90.00 90.00°
With the nearest neighbours (Å) after each atom.
Space group P4/mbm (No. 127)
Inequivalent atoms, fractional coordinates:
K1 0.1658 0.3342 0.0000 x4  6 Au 3.50-3.57, 1 K 3.57
Y1 0.0000 0.0000 0.5000 x2  4 Au 2.98
Au1 0.1319 0.6319 0.5000 x4  1 Au 2.84, 2 Y 2.98

# K2YAu

Crystalline K2YAu at its relaxed geometry (GGA-PBE, Alexandria via LeMat-Bulk).

Calculated values
V in Å³/cell: 289.1
ΔH_f (0 K) in eV per atom: 0.30
Relative energy among the computed polymorphs in meV per atom: 498
DOS at the Fermi energy in states/eV per atom: 0.854
Magnetic moment in μB per formula unit: 0.00

Cell: 6.2431 11.8453 3.9090 Å, 90.00 90.00 90.00°
With the nearest neighbours (Å) after each atom.
Space group Cmmm (No. 65)
Inequivalent atoms, fractional coordinates:
K1 0.2500 0.2500 0.0000 x4  2 K 3.12
Y1 0.0000 0.0000 0.5000 x2  2 Au 3.12
Au1 0.0000 0.5000 0.5000 x2  2 Y 3.12

# K2YAu

Crystalline K2YAu at its relaxed geometry (GGA-PBE, Alexandria via LeMat-Bulk).

Calculated values
V in Å³/cell: 150.1
ΔH_f (0 K) in eV per atom: 0.17
Relative energy among the computed polymorphs in meV per atom: 373
DOS at the Fermi energy in states/eV per atom: 0.863
Magnetic moment in μB per formula unit: 0.43

Cell: 3.6193 3.6193 11.4551 Å, 90.00 90.00 90.00°
With the nearest neighbours (Å) after each atom.
Space group P4/mmm (No. 123)
Inequivalent atoms, fractional coordinates:
K1 0.0000 0.0000 0.1876 x2  4 Au 3.34, 4 K 3.62
Y1 0.5000 0.5000 0.5000 x1  4 Y 3.62
Au1 0.5000 0.5000 0.0000 x1  8 K 3.34, 4 Au 3.62

# K2YAu

Crystalline K2YAu at its relaxed geometry (GGA-PBE, Alexandria via LeMat-Bulk).

Calculated values
V in Å³/cell: 349.8
ΔH_f (0 K) in eV per atom: -0.15
Relative energy among the computed polymorphs in meV per atom: 50
DOS at the Fermi energy in states/eV per atom: 0.663
Magnetic moment in μB per formula unit: 0.00

Cell: 21.1661 3.7656 4.4896 Å, 90.00 102.20 90.00°
With the nearest neighbours (Å) after each atom.
Space group C2/m (No. 12)
Inequivalent atoms, fractional coordinates:
K1 0.1547 0.0000 0.1541 x4  2 Au 3.71, 2 K 3.77, 2 Y 3.91
Y1 0.0000 0.0000 0.5000 x2  4 Au 2.93
Au1 0.0000 0.5000 0.0000 x2  4 Y 2.93

# KYAu

Crystalline KYAu at its relaxed geometry (GGA-PBE, Alexandria via LeMat-Bulk).

Calculated values
V in Å³/cell: 390.9
ΔH_f (0 K) in eV per atom: 0.02
Relative energy among the computed polymorphs in meV per atom: 298
DOS at the Fermi energy in states/eV per atom: 1.078
Magnetic moment in μB per formula unit: 0.00

Cell: 7.3118 7.3118 7.3118 Å, 90.00 90.00 90.00°
With the nearest neighbours (Å) after each atom.
Space group F-43m (No. 216)
Inequivalent atoms, fractional coordinates:
K1 0.0000 0.0000 0.0000 x4  4 Au 3.17
Y1 0.0000 0.0000 0.5000 x4  4 Au 3.17
Au1 0.2500 0.2500 0.7500 x4  4 K 3.17, 4 Y 3.17

# K3YAu

Crystalline K3YAu at its relaxed geometry (GGA-PBE, Alexandria via LeMat-Bulk).

Calculated values
V in Å³/cell: 387.2
ΔH_f (0 K) in eV per atom: 0.98
Relative energy among the computed polymorphs in meV per atom: 566
DOS at the Fermi energy in states/eV per atom: 8.528
Magnetic moment in μB per formula unit: 3.00

Cell: 7.2885 7.2885 7.2885 Å, 90.00 90.00 90.00°
With the nearest neighbours (Å) after each atom.
Space group Pm-3m (No. 221)
Inequivalent atoms, fractional coordinates:
K1 0.0000 0.0000 0.5000 x3  2 Y 3.64
Y1 0.0000 0.0000 0.0000 x1  6 K 3.64
Au1 0.5000 0.5000 0.5000 x1  12 K 5.15

# K2YAu

Crystalline K2YAu at its relaxed geometry (GGA-PBE, Alexandria via LeMat-Bulk).

Calculated values
V in Å³/cell: 143.4
ΔH_f (0 K) in eV per atom: 0.27
Relative energy among the computed polymorphs in meV per atom: 472
DOS at the Fermi energy in states/eV per atom: 0.991
Magnetic moment in μB per formula unit: 0.83

Cell: 4.3319 5.0531 6.5532 Å, 90.00 90.00 90.00°
With the nearest neighbours (Å) after each atom.
Space group Pmmm (No. 47)
Inequivalent atoms, fractional coordinates:
K1 0.0000 0.0000 0.2222 x2  1 K 2.91
Y1 0.5000 0.5000 0.5000 x1  2 Au 3.28
Au1 0.5000 0.5000 0.0000 x1  2 Y 3.28, 8 K 3.63

# K2YAu

Crystalline K2YAu at its relaxed geometry (GGA-PBE, Alexandria via LeMat-Bulk).

Calculated values
V in Å³/cell: 267.4
ΔH_f (0 K) in eV per atom: 0.21
Relative energy among the computed polymorphs in meV per atom: 410
DOS at the Fermi energy in states/eV per atom: 0.859
Magnetic moment in μB per formula unit: 0.00

Cell: 6.3001 13.3275 3.9635 Å, 90.00 126.54 90.00°
With the nearest neighbours (Å) after each atom.
Space group C2/m (No. 12)
Inequivalent atoms, fractional coordinates:
K1 0.2500 0.2500 0.0000 x4  4 K 3.15-3.28
Y1 0.0000 0.0000 0.5000 x2  4 Au 3.15-3.28
Au1 0.0000 0.5000 0.5000 x2  4 Y 3.15-3.28